Entry 1:
## Al2AgAu (GGA-PBE)

Data for crystalline Al2AgAu at its relaxed geometry.

a b c (Å): 7.394 7.394 5.927
angles (deg): 51.41 51.41 90.00
Positions (direct):
Au  0.000  0.000  0.000
Au  0.750  0.250  0.500
Al  0.643  0.125  0.250
Al  0.107  0.625  0.250
Al  0.375  0.357  0.750
Al  0.875  0.893  0.750
Ag  0.500  0.500  0.000
Ag  0.250  0.750  0.500

Properties
energy relative to the elements: 0.060 eV/atom
N(E_F): 4.2 states/eV per cell
crystal system: tetragonal
mass density: 7.8 g cm⁻³



Entry 2:
## TmGaAg4 (GGA-PBE)

Data for crystalline TmGaAg4 at its relaxed geometry.

a b c (Å): 5.025 5.024 9.998
angles (deg): 104.90 104.98 90.02
Positions (direct):
Tm  0.751  0.750  0.000
Tm  0.249  0.250  0.000
Ga  0.500  0.000  0.500
Ga  0.000  0.500  0.500
Ag  0.655  0.159  0.817
Ag  0.841  0.343  0.183
Ag  0.345  0.841  0.183
Ag  0.159  0.657  0.817
Ag  0.073  0.076  0.658
Ag  0.422  0.422  0.342
Ag  0.927  0.924  0.342
Ag  0.578  0.578  0.658

Properties
energy relative to the elements: -0.120 eV/atom
N(E_F): 3.9 states/eV per cell
crystal system: triclinic
offset from the most stable computed form: 0.0207 eV/atom
mass density: 9.5 g cm⁻³



Entry 3:
## HoAl4Ni2 (GGA-PBE)

Data for crystalline HoAl4Ni2 at its relaxed geometry.

a b c (Å): 4.125 6.395 16.802
angles (deg): 90.00 90.00 90.00
Positions (direct):
Ni  0.250  0.757  0.540
Ni  0.750  0.243  0.460
Ni  0.750  0.257  0.960
Ni  0.250  0.743  0.040
Ni  0.250  0.970  0.783
Ni  0.750  0.030  0.217
Ni  0.750  0.470  0.717
Ni  0.250  0.530  0.283
Ho  0.750  0.982  0.639
Ho  0.250  0.018  0.361
Ho  0.250  0.482  0.861
Ho  0.750  0.518  0.139
Al  0.250  0.271  0.696
Al  0.750  0.729  0.304
Al  0.750  0.771  0.804
Al  0.250  0.229  0.196
Al  0.250  0.675  0.687
Al  0.750  0.325  0.313
Al  0.750  0.175  0.813
Al  0.250  0.825  0.187
Al  0.250  0.164  0.532
Al  0.750  0.836  0.468
Al  0.750  0.664  0.968
Al  0.250  0.336  0.032
Al  0.250  0.503  0.428
Al  0.750  0.497  0.572
Al  0.750  0.003  0.072
Al  0.250  0.997  0.928

Properties
energy relative to the elements: -0.581 eV/atom
N(E_F): 11.2 states/eV per cell
crystal system: orthorhombic
mass density: 5.8 g cm⁻³



Entry 4:
## YZrBi2C (GGA-PBE)

Data for crystalline YZrBi2C at its relaxed geometry.

a b c (Å): 5.793 4.186 5.793
angles (deg): 90.00 90.00 90.00
Positions (direct):
Y  0.500  0.500  0.500
C  0.000  0.500  0.000
Bi  0.000  0.000  0.500
Bi  0.500  0.000  0.000
Zr  0.000  0.000  0.000

Properties
energy relative to the elements: 0.502 eV/atom
N(E_F): 4.7 states/eV per cell
crystal system: tetragonal
mass density: 7.2 g cm⁻³